[1]
Crystalline Mo3Pt at its relaxed geometry, computed with GGA-PBE.

Unit cell a=6.342 b=6.342 c=6.342 alpha=90.00 beta=90.00 gamma=90.00
Space group Fm-3m (No. 225)
One atom of each set of equivalent atoms:
Mo 0.000 0.000 0.000
Mo 0.250 0.250 0.250
Pt 0.000 0.000 0.500

N(E_F): 8.7 states/eV/f.u.
E above lowest polymorph: 28.7 kJ/mol of atoms
Mass density: 12.57 Mg/m³
Energy relative to the elements: 0.171 eV/atom
Calculated volume: 255 Å³/cell

=====

[2]
Crystalline Y2MgTiC at its relaxed geometry, computed with GGA-PBE.

Unit cell a=5.038 b=5.038 c=4.225 alpha=90.00 beta=90.00 gamma=90.00
Space group P4/mmm (No. 123)
One atom of each set of equivalent atoms:
Y 0.000 0.500 0.000
Mg 0.000 0.000 0.500
Ti 0.500 0.500 0.500
C 0.500 0.500 0.000

N(E_F): 4.1 states/eV/f.u.
Mass density: 4.06 Mg/m³
Energy relative to the elements: -0.214 eV/atom
Calculated volume: 107 Å³/cell

=====

[3]
Crystalline PmNdSmY at its relaxed geometry, computed with GGA-PBE.

Unit cell a=5.148 b=5.148 c=10.252 alpha=90.00 beta=90.00 gamma=90.00
Space group I-4m2 (No. 119)
One atom of each set of equivalent atoms:
Pm 0.000 0.000 0.000
Nd 0.000 0.500 0.750
Sm 0.000 0.000 0.500
Y 0.000 0.500 0.250

N(E_F): 5.9 states/eV/f.u.
E above lowest polymorph: 0.0 kJ/mol of atoms
Mass density: 6.46 Mg/m³
Energy relative to the elements: 0.014 eV/atom
Calculated volume: 272 Å³/cell

=====

[4]
Crystalline Y2PBr at its relaxed geometry, computed with GGA-PBE.

Unit cell a=3.9997 b=3.9997 c=21.6020 alpha=90.00 beta=90.00 gamma=120.00
Space group R3m (No. 160, hexagonal axes)
One atom of each set of equivalent atoms:
Y 0.0000 0.0000 0.0000
Y 0.0000 0.0000 0.2010
P 0.0000 0.0000 0.5986
Br 0.0000 0.0000 0.7688

Formation energy without anion corrections: -1439.3 meV per atom
N(E_F): 0.8 states/eV/f.u.
Mass density: 4.81 Mg/m³
Calculated volume: 299 Å³/cell

=====

Listing electronic total energy for the structures above in their given order: -151.40, -32.71, -41.29, -77.30 eV for the cell shown.